The following is a PBE calculation of crystalline Cs2LiGeP2 at its relaxed geometry, from Alexandria via LeMat-Bulk.

Calculated formation energy: -0.35 eV/atom
Spin magnetization: 0.000 μB per atom
Fermi-level density of states: 4.35 states/eV per cell
Crystal system: orthorhombic

abc: 6.460 6.435 9.652
angles: 109.47 109.55 90.00
Sites, in units of the cell vectors:
Cs (0.398, 0.166, 0.333)
Cs (0.602, 0.834, 0.667)
Cs (0.066, 0.334, 0.667)
Cs (0.934, 0.666, 0.333)
Li (0.000, 0.750, 0.000)
Li (0.000, 0.250, 0.000)
Ge (0.500, 0.750, 0.000)
Ge (0.500, 0.250, 0.000)
P (0.805, 0.074, 0.148)
P (0.343, 0.574, 0.148)
P (0.657, 0.426, 0.852)
P (0.195, 0.926, 0.852)